A relaxed KSbI2Br crystal, computed with GGA-PBE.

```
KSbI2Br
1.0
6.1636 0.0000 0.0000
0.0000 6.1636 0.0000
0.0000 0.0000 5.7766
Sb I K Br
1 2 1 1
Cartesian
0.0000 0.0000 0.0000
0.0000 3.0818 0.0000
3.0818 0.0000 0.0000
3.0818 3.0818 2.8883
0.0000 0.0000 2.8883
```

Results
As for the formation energy without anion corrections: -731 meV per atom. Its space-group type is P4/mmm. The calculation puts the final energy at -13.65 eV per cell.


A relaxed BaZn2Pb crystal, computed with GGA-PBE.

```
BaZn2Pb
1.0
-7.2066 3.5318 2.6911
0.7661 -4.9095 -1.2245
-1.8801 -1.2442 3.7848
Ba Zn Pb
1 2 1
Cartesian
-0.5570 -3.0768 1.2802
-4.5433 1.1438 3.2379
0.0000 0.0000 0.0000
-3.2202 -0.6888 0.7333
```

Results
The formation enthalpy at 0 K comes out at -0.039 eV/atom. Its space-group type is C2/m. The calculation puts the final energy at -8.34 eV per cell.


A relaxed AgBiAs crystal, computed with GGA-PBE.

```
AgBiAs
1.0
4.7716 0.0000 0.0000
2.3858 4.1323 0.0000
2.3858 1.3774 3.8960
As Ag Bi
1 1 1
Cartesian
4.7716 2.7549 1.9480
2.3858 1.3774 0.9740
0.0000 0.0000 0.0000
```

Results
The formation enthalpy at 0 K comes out at 0.178 eV/atom. Its space-group type is F-43m. The calculation puts the final energy at -10.85 eV per cell.


A relaxed Zr5GaC crystal, computed with GGA-PBE.

```
Zr5GaC
1.0
5.8973 0.5293 -0.1462
2.3729 5.4247 -0.1462
2.8549 2.0553 8.9806
Zr C Ga
10 2 2
Cartesian
7.2213 6.5525 8.4814
6.4569 1.2572 2.0990
3.9037 1.4569 0.2069
3.3474 1.0662 3.2525
4.6682 6.7522 6.5893
3.5006 3.8639 7.7428
7.6245 4.1454 0.9455
7.7776 6.9431 5.4358
4.0475 4.2676 4.6973
7.0775 3.7418 3.9911
0.0000 0.0000 0.0000
1.4275 1.0277 4.4903
4.7465 3.6329 2.0990
6.3786 4.3764 6.5893
```

Results
The formation enthalpy at 0 K comes out at -0.274 eV/atom. Its space-group type is C2/c. The calculation puts the final energy at -113.81 eV per cell.


A relaxed BaLaZr crystal, computed with GGA-PBE.

```
BaLaZr
1.0
7.0854 0.0553 -0.0174
4.5493 5.4323 0.0174
-5.4848 -3.4488 2.8685
Zr La Ba
1 1 1
Cartesian
3.5907 1.6936 0.0000
8.1529 3.8454 0.0000
11.5256 5.4361 0.0000
```

Results
The formation enthalpy at 0 K comes out at 0.427 eV/atom. Its space-group type is Imm2. The calculation puts the final energy at -14.12 eV per cell.


A relaxed NaLi5F8 crystal, computed with GGA-PBE.

```
NaLi5F8
1.0
-4.1873 0.0769 -4.3608
-4.4630 -4.0789 0.0221
-5.6568 1.7153 1.2705
Na Li F
1 5 8
Cartesian
-3.5768 -0.5717 -0.7671
-8.9832 -1.4358 -1.9265
-6.0896 -2.3132 -2.5764
-6.8413 -1.4751 0.3042
0.0000 0.0000 0.0000
-6.7003 0.6506 -1.9378
-9.7468 -2.7965 -3.2647
-10.4417 -2.0217 -0.6018
-5.6345 -0.9006 -1.2083
-12.4217 -1.9854 -2.6639
-10.3113 -0.0566 -2.6743
-7.4129 -0.8679 -3.0604
-8.0370 -0.1721 -0.6687
-7.5300 -2.6329 -1.1990
```

Results
As for the formation energy without anion corrections: -2397 meV per atom. Its space-group type is F-43m. The calculation puts the final energy at -59.42 eV per cell.


A relaxed HgPb3Se3 crystal, computed with GGA-PBE.

```
HgPb3Se3
1.0
-2.7804 2.5496 1.8659
2.3080 -5.8091 11.3770
11.2602 10.1560 2.9013
Pb Hg Se
12 4 12
Cartesian
0.5384 1.0219 1.7791
2.2825 4.1268 4.8818
9.4478 7.5651 6.1141
-0.3391 0.4677 5.9754
1.3401 -0.6686 10.0301
5.2814 1.3545 8.3924
5.5064 5.5421 7.7518
6.0688 5.8122 3.4744
10.2495 5.8747 14.3651
11.1269 6.4289 10.1688
4.7190 1.0844 12.6698
8.5053 2.7698 11.2624
2.6130 -1.5221 13.0932
8.6073 4.8634 8.5536
2.1805 2.0332 7.5906
8.1748 8.4187 3.0510
6.9603 2.5875 13.9556
8.5548 5.7404 12.0235
3.8276 4.3090 2.1886
5.4472 3.5402 5.6527
1.4895 -3.9748 10.0241
9.2984 10.8714 6.1201
2.2330 1.1562 4.1207
5.3406 3.3564 10.4915
1.8048 -1.4608 7.0586
8.9831 8.3574 9.0856
6.3855 7.7291 6.0733
4.4024 -0.8325 10.0708
```

Results
As for the formation energy without anion corrections: -378 meV per atom. Its space-group type is Pnma. The calculation puts the final energy at -98.11 eV per cell.


A relaxed Mo2PRu crystal, computed with GGA-PBE.

```
Mo2PRu
1.0
6.7827 0.0000 0.0000
0.0000 6.7827 0.0000
3.3914 3.3914 2.6790
Mo Ru P
4 2 2
Cartesian
1.8948 5.0870 0.6697
4.8879 1.6957 0.6697
5.0870 5.2862 2.0092
8.4784 8.2792 2.0092
0.0000 0.0000 0.0000
6.7827 3.3914 1.3395
3.3914 6.7827 1.3395
3.3914 3.3914 0.0000
```

Results
The formation enthalpy at 0 K comes out at 0.285 eV/atom. Its space-group type is I-42d. The calculation puts the final energy at -70.42 eV per cell.


A relaxed ReTcGeRu2 crystal, computed with GGA-PBE.

```
ReTcGeRu2
1.0
4.3860 0.0000 0.0000
0.0000 4.4728 0.0000
0.0000 0.0000 4.3860
Tc Re Ge Ru
1 1 1 2
Cartesian
0.0000 2.2364 0.0000
2.1930 2.2364 2.1930
0.0000 0.0000 0.0000
0.0000 0.0000 2.1930
2.1930 0.0000 0.0000
```

Results
The formation enthalpy at 0 K comes out at 1.514 eV/atom. Its space-group type is P4/mmm. The calculation puts the final energy at -38.41 eV per cell.


A relaxed Sr2Cd3Ag2 crystal, computed with GGA-PBE.

```
Sr2Cd3Ag2
1.0
4.7199 0.0000 0.0000
-2.3600 5.5378 -0.2161
0.0000 -2.8224 7.2976
Cd Sr Ag
3 2 2
Cartesian
2.3600 0.1574 3.1131
0.0000 2.5581 3.9685
2.3600 0.0000 0.0000
0.0000 -0.6006 5.5505
2.3600 3.3161 1.5310
2.3600 1.7388 5.6249
0.0000 0.9766 1.4567
```

Results
The formation enthalpy at 0 K comes out at -0.299 eV/atom. Its space-group type is C2/m. The calculation puts the final energy at -13.91 eV per cell.


A relaxed Cs3CeCu2Br9 crystal, computed with GGA-PBE.

```
Cs3CeCu2Br9
1.0
8.0292 0.0000 0.0000
-4.0146 6.9535 0.0000
0.0000 0.0000 9.9148
Br Cs Cu Ce
9 3 2 1
Cartesian
-2.0208 5.8024 3.3251
4.0146 0.0000 0.0000
2.0073 3.4767 0.0000
6.0354 1.1511 6.5897
2.0208 5.8024 3.3251
4.0146 4.6512 6.5897
0.0000 2.3023 3.3251
-2.0073 3.4767 0.0000
1.9938 1.1511 6.5897
0.0000 0.0000 0.0000
0.0000 4.6357 6.5082
4.0146 2.3178 3.4066
4.0146 2.3178 9.2974
0.0000 4.6357 0.6173
0.0000 0.0000 4.9574
```

Results
As for the formation energy without anion corrections: -1331 meV per atom. Its space-group type is P-3m1. The calculation puts the final energy at -51.71 eV per cell.


A relaxed Sr3In2Pd7 crystal, computed with GGA-PBE.

```
Sr3In2Pd7
1.0
5.5295 0.0000 1.7307
2.4939 4.9351 1.7307
0.0884 0.0544 9.4160
Pd Sr In
7 3 2
Cartesian
6.1347 2.0783 4.6306
3.4900 0.4515 8.2468
3.3789 2.0783 3.7680
4.0559 2.4948 6.4387
4.6218 4.5380 4.6306
4.7329 2.9112 9.1094
1.9770 2.9112 8.2468
1.1740 0.7221 5.9477
6.9378 4.2674 6.9297
0.0000 0.0000 0.0000
2.6698 1.6422 1.1685
5.4419 3.3473 11.7089
```

Results
The formation enthalpy at 0 K comes out at -0.622 eV/atom. Its space-group type is R-3m. The calculation puts the final energy at -54.34 eV per cell.


A relaxed Ba2US3O3 crystal, computed with GGA-PBE.

```
Ba2US3O3
1.0
3.2889 0.0000 0.0000
0.0000 8.4206 0.0000
0.0000 -4.2103 7.2925
O Ba S U
3 2 3 1
Cartesian
1.6444 6.9868 0.0000
1.6444 -3.4934 6.0507
1.6444 0.7169 1.2417
1.6444 4.2103 2.4308
1.6444 0.0000 4.8616
0.0000 3.1866 0.0000
0.0000 2.6170 4.5328
0.0000 -1.5933 2.7597
0.0000 0.0000 0.0000
```

Results
As for the formation energy without anion corrections: -1750 meV per atom. Its space-group type is P-62m. The calculation puts the final energy at -58.14 eV per cell.


A relaxed MgAlAg2 crystal, computed with GGA-PBE.

```
MgAlAg2
1.0
-2.4951 -0.1753 -1.5980
1.6012 -0.5368 -2.4409
-0.3989 -8.0269 1.5035
Mg Ag Al
1 2 1
Cartesian
-0.7455 -6.3634 -0.8942
-0.5517 -2.4636 -1.6247
-0.3989 -8.0266 1.5034
-0.1951 -3.9255 0.7353
```

Results
The formation enthalpy at 0 K comes out at -0.059 eV/atom. Its space-group type is P4mm. The calculation puts the final energy at -11.27 eV per cell.


A relaxed Mg6FeSi crystal, computed with GGA-PBE.

```
Mg6FeSi
1.0
-1.9320 -1.4926 5.5664
-0.3454 -4.0234 -4.5430
4.3334 -1.5892 1.0779
Mg Fe Si
6 1 1
Cartesian
-0.4476 -1.6321 -0.6067
-1.4032 -2.3361 2.1970
0.2934 -4.7714 2.2070
0.5029 -2.7151 4.3962
1.4836 -1.8887 1.6722
-1.5570 -4.3190 -0.1082
-0.6389 -3.5552 -2.6729
1.3239 -4.0246 -0.8349
```

Results
As for the formation energy without anion corrections: 142 meV per atom. Its space-group type is Amm2. The calculation puts the final energy at -22.32 eV per cell.


A relaxed KLi2NiAs crystal, computed with GGA-PBE.

```
KLi2NiAs
1.0
-4.7824 0.8305 -1.0090
0.6921 -1.1202 -4.2021
-1.0492 -4.7222 1.0860
Li As Ni K
2 1 1 1
Cartesian
-2.3912 0.4153 -0.5045
-0.5246 -2.3611 0.5430
0.3460 -0.5601 -2.1011
0.0000 0.0000 0.0000
-2.5697 -2.5059 -2.0626
```

Results
The formation enthalpy at 0 K comes out at -0.228 eV/atom. Its space-group type is P4/mmm. The calculation puts the final energy at -16.50 eV per cell.


A relaxed SrCdTe2 crystal, computed with GGA-PBE.

```
SrCdTe2
1.0
-0.9650 2.2525 3.7603
-3.8309 -0.8235 2.1888
1.9154 -4.9055 6.1087
Te Sr Cd
2 1 1
Cartesian
-0.8185 -0.7185 2.8989
1.1449 -3.7254 5.2040
-1.4385 -1.7410 6.0309
-1.2932 -3.9355 10.0614
```

Results
As for the formation energy without anion corrections: -920 meV per atom. Its space-group type is R3m. The calculation puts the final energy at -12.56 eV per cell.


A relaxed RbInGaAu crystal, computed with GGA-PBE.

```
RbInGaAu
1.0
-0.1589 -0.5662 -4.5345
3.8132 -1.0153 -2.3099
-2.4765 -6.2237 3.1660
In Au Rb Ga
1 1 1 1
Cartesian
-0.6380 -4.5613 0.2188
-2.0838 -5.2547 2.6604
1.0842 -2.3711 -2.4150
0.3045 -6.5627 -1.8682
```

Results
The formation enthalpy at 0 K comes out at -0.197 eV/atom. Its space-group type is R3m. The calculation puts the final energy at -10.80 eV per cell.


A relaxed As2PtAu2 crystal, computed with GGA-PBE.

```
As2PtAu2
1.0
-5.3568 2.3101 3.6102
-2.1373 -6.4487 0.9552
2.1947 -0.2238 3.3996
As Au Pt
4 4 2
Cartesian
-1.6037 -1.7686 0.9189
-3.5702 -4.6058 2.0015
-5.8904 -2.3700 3.6465
-3.9240 0.4672 2.5639
-1.0742 -3.9453 2.8493
-1.1073 -0.2459 3.1142
-4.2252 -0.4171 5.1158
-4.1922 -4.1165 4.8508
0.0000 0.0000 0.0000
-3.7471 -2.0693 2.2827
```

Results
The formation enthalpy at 0 K comes out at 0.170 eV/atom. Its space-group type is P4/mbm. The calculation puts the final energy at -42.09 eV per cell.


A relaxed DyTmZr2 crystal, computed with GGA-PBE.

```
DyTmZr2
1.0
-2.5205 0.7830 -2.0670
-0.2780 -1.5460 -2.9616
-7.0567 -7.9052 2.8914
Zr Dy Tm
2 1 1
Cartesian
-2.4584 -2.1609 -0.5368
-5.5334 -6.0026 1.7567
-4.9279 -4.3342 -1.0693
-8.9197 -8.4097 -0.4651
```

Results
The formation enthalpy at 0 K comes out at 0.097 eV/atom. Its space-group type is R3m. The calculation puts the final energy at -25.78 eV per cell.